(1)
## Tc2MoRh (GGA-PBEsol)

Data for a geometry-optimized Tc2MoRh structure.

Computed properties:
* excess energy over the best structure of this formula in the dataset: 20 meV/atom
* symmetry: I-4m2, No. 119

a = 4.698 Å, b = 4.698 Å, c = 4.698 Å
α = 131.80°, β = 131.80°, γ = 70.54°
Element x y z (fractional)
Tc  0.000  0.000  0.000
Tc  0.750  0.250  0.500
Mo  0.250  0.750  0.500
Rh  0.500  0.500  0.000

(2)
## LiAgAu2 (GGA-PBEsol)

Data for a geometry-optimized LiAgAu2 structure.

Computed properties:
* excess energy over the best structure of this formula in the dataset: 87 meV/atom
* symmetry: R-3m, No. 166

a = 9.276 Å, b = 9.276 Å, c = 9.276 Å
α = 17.64°, β = 17.64°, γ = 17.64°
Element x y z (fractional)
Li  0.000  0.000  0.000
Ag  0.500  0.500  0.500
Au  0.255  0.255  0.255
Au  0.745  0.745  0.745

(3)
## SrBe3Os (GGA-PBEsol)

Data for a geometry-optimized SrBe3Os structure.

Computed properties:
* excess energy over the best structure of this formula in the dataset: 0 meV/atom
* symmetry: Pm-3m, No. 221

a = 4.376 Å, b = 4.376 Å, c = 4.376 Å
α = 90.00°, β = 90.00°, γ = 90.00°
Element x y z (fractional)
Sr  0.000  0.000  0.000
Be  0.000  0.500  0.500
Be  0.500  0.000  0.500
Be  0.500  0.500  0.000
Os  0.500  0.500  0.500

(4)
## CdAg2Au (GGA-PBEsol)

Data for a geometry-optimized CdAg2Au structure.

Computed properties:
* calculated total energy: -2.9986 eV/atom
* symmetry: P4/mmm, No. 123

a = 2.942 Å, b = 2.942 Å, c = 8.007 Å
α = 90.00°, β = 90.00°, γ = 90.00°
Element x y z (fractional)
Cd  0.000  0.000  0.000
Ag  0.500  0.500  0.255
Ag  0.500  0.500  0.745
Au  0.000  0.000  0.500

(5)
## Ta2CrO6 (GGA-PBEsol)

Data for a geometry-optimized Ta2CrO6 structure.

Computed properties:
* symmetry: P4_2/mnm, No. 136
* energy relative to the elements, uncorrected: -245 kJ per mole of atoms

a = 4.711 Å, b = 4.711 Å, c = 8.999 Å
α = 90.00°, β = 90.00°, γ = 90.00°
Element x y z (fractional)
Ta  0.000  0.000  0.164
Ta  0.000  0.000  0.836
Ta  0.500  0.500  0.336
Ta  0.500  0.500  0.664
Cr  0.000  0.000  0.500
Cr  0.500  0.500  0.000
O  0.199  0.199  0.333
O  0.199  0.199  0.667
O  0.203  0.203  0.000
O  0.297  0.703  0.500
O  0.301  0.699  0.167
O  0.301  0.699  0.833
O  0.699  0.301  0.167
O  0.699  0.301  0.833
O  0.703  0.297  0.500
O  0.797  0.797  0.000
O  0.801  0.801  0.333
O  0.801  0.801  0.667

(6)
## LiAg2Rh (GGA-PBEsol)

Data for a geometry-optimized LiAg2Rh structure.

Computed properties:
* calculated total energy: -4.1112 eV/atom
* symmetry: I4/mmm, No. 139

a = 4.636 Å, b = 4.636 Å, c = 4.636 Å
α = 128.17°, β = 128.17°, γ = 76.35°
Element x y z (fractional)
Li  0.000  0.000  0.000
Ag  0.250  0.750  0.500
Ag  0.750  0.250  0.500
Rh  0.500  0.500  0.000

(7)
## SrCo2Si (GGA-PBEsol)

Data for a geometry-optimized SrCo2Si structure.

Computed properties:
* symmetry: R-3m, No. 166
* energy relative to the elements, uncorrected: -28 kJ per mole of atoms

a = 5.757 Å, b = 5.757 Å, c = 5.757 Å
α = 40.58°, β = 40.58°, γ = 40.58°
Element x y z (fractional)
Sr  0.000  0.000  0.000
Co  0.183  0.183  0.183
Co  0.817  0.817  0.817
Si  0.500  0.500  0.500

(8)
## Ta2BeTlSe (GGA-PBEsol)

Data for a geometry-optimized Ta2BeTlSe structure.

Computed properties:
* symmetry: P4/mmm, No. 123
* energy relative to the elements, uncorrected: 87 kJ per mole of atoms

a = 4.820 Å, b = 4.820 Å, c = 4.021 Å
α = 90.00°, β = 90.00°, γ = 90.00°
Element x y z (fractional)
Ta  0.000  0.500  0.000
Ta  0.500  0.000  0.000
Be  0.000  0.000  0.500
Tl  0.500  0.500  0.500
Se  0.000  0.000  0.000